# 1
# Zr2ZnCu | Alexandria | PBE | relaxed
# * total moment: 0.000 μB/f.u.
# * uncorrected energy: -23.03 eV per cell
data_Zr2ZnCu
_cell_length_a 3.129
_cell_length_b 3.129
_cell_length_c 7.478
_cell_angle_alpha 90.00
_cell_angle_beta 90.00
_cell_angle_gamma 90.00
_symmetry_space_group_name_H-M 'P 4 m m'
_symmetry_Int_Tables_number 99
_symmetry_space_group_name_Hall 'P 4 -2'
loop_
_atom_site_label
_atom_site_type_symbol
_atom_site_fract_x
_atom_site_fract_y
_atom_site_fract_z
Zr1 Zr 0.000 0.000 0.000
Zr2 Zr 0.500 0.500 0.301
Zn1 Zn 0.500 0.500 0.726
Cu1 Cu 0.000 0.000 0.553

***

# 2
# LaTiPd3 | Alexandria | PBE | relaxed
# * total moment: 0.000 μB/f.u.
# * uncorrected energy: -29.82 eV per cell
data_LaTiPd3
_cell_length_a 4.798
_cell_length_b 4.798
_cell_length_c 4.798
_cell_angle_alpha 90.00
_cell_angle_beta 90.00
_cell_angle_gamma 90.00
_symmetry_space_group_name_H-M 'P m -3 m'
_symmetry_Int_Tables_number 221
_symmetry_space_group_name_Hall '-P 4 2 3'
loop_
_atom_site_label
_atom_site_type_symbol
_atom_site_fract_x
_atom_site_fract_y
_atom_site_fract_z
La1 La 0.000 0.000 0.000
Ti1 Ti 0.500 0.500 0.500
Pd1 Pd 0.000 0.500 0.500

***

# 3
# TaOs | Alexandria | PBE | relaxed
# * total moment: 0.000 μB/f.u.
# * uncorrected energy: -45.92 eV per cell
data_TaOs
_cell_length_a 2.9279
_cell_length_b 2.9279
_cell_length_c 8.8100
_cell_angle_alpha 90.00
_cell_angle_beta 90.00
_cell_angle_gamma 120.00
_symmetry_space_group_name_H-M 'P 63/m m c'
_symmetry_Int_Tables_number 194
_symmetry_space_group_name_Hall '-P 6c 2c'
loop_
_atom_site_label
_atom_site_type_symbol
_atom_site_fract_x
_atom_site_fract_y
_atom_site_fract_z
Ta1 Ta 0.0000 0.0000 0.0000
Os1 Os 0.3333 0.6667 0.2500

***

# 4
# La2PrSmO | Alexandria | PBE | relaxed
# * total moment: 0.000 μB/f.u.
# * uncorrected energy: -29.91 eV per cell
data_La2PrSmO
_cell_length_a 5.256
_cell_length_b 5.256
_cell_length_c 4.971
_cell_angle_alpha 90.00
_cell_angle_beta 90.00
_cell_angle_gamma 90.00
_symmetry_space_group_name_H-M 'P 4/m m m'
_symmetry_Int_Tables_number 123
_symmetry_space_group_name_Hall '-P 4 2'
loop_
_atom_site_label
_atom_site_type_symbol
_atom_site_fract_x
_atom_site_fract_y
_atom_site_fract_z
La1 La 0.000 0.500 0.000
Pr1 Pr 0.000 0.000 0.500
Sm1 Sm 0.500 0.500 0.500
O1 O 0.500 0.500 0.000

***

# 5
# Mo2As2Br | Alexandria | PBE | relaxed
# * total moment: 0.762 μB/f.u.
# * uncorrected energy: -61.31 eV per cell
data_Mo2As2Br
_cell_length_a 4.274
_cell_length_b 4.274
_cell_length_c 10.883
_cell_angle_alpha 90.00
_cell_angle_beta 90.00
_cell_angle_gamma 90.00
_symmetry_space_group_name_H-M 'I 4/m m m'
_symmetry_Int_Tables_number 139
_symmetry_space_group_name_Hall '-I 4 2'
loop_
_atom_site_label
_atom_site_type_symbol
_atom_site_fract_x
_atom_site_fract_y
_atom_site_fract_z
Mo1 Mo 0.000 0.000 0.117
As1 As 0.000 0.500 0.250
Br1 Br 0.000 0.000 0.500

***

# 6
# Ga2FeTc2 | Alexandria | PBE | relaxed
# * total moment: 2.980 μB/f.u.
# * uncorrected energy: -68.77 eV per cell
data_Ga2FeTc2
_cell_length_a 6.699
_cell_length_b 6.699
_cell_length_c 3.401
_cell_angle_alpha 90.00
_cell_angle_beta 90.00
_cell_angle_gamma 90.00
_symmetry_space_group_name_H-M 'P 4/m b m'
_symmetry_Int_Tables_number 127
_symmetry_space_group_name_Hall '-P 4 2ab'
loop_
_atom_site_label
_atom_site_type_symbol
_atom_site_fract_x
_atom_site_fract_y
_atom_site_fract_z
Ga1 Ga 0.163 0.337 0.000
Fe1 Fe 0.000 0.000 0.500
Tc1 Tc 0.139 0.639 0.500

***

# 7
# Ta2InP | Alexandria | PBE | relaxed
# * total moment: 0.000 μB/f.u.
# * uncorrected energy: -32.37 eV per cell
data_Ta2InP
_cell_length_a 3.201
_cell_length_b 3.429
_cell_length_c 6.961
_cell_angle_alpha 90.00
_cell_angle_beta 90.00
_cell_angle_gamma 90.00
_symmetry_space_group_name_H-M 'P m m 2'
_symmetry_Int_Tables_number 25
_symmetry_space_group_name_Hall 'P 2 -2'
loop_
_atom_site_label
_atom_site_type_symbol
_atom_site_fract_x
_atom_site_fract_y
_atom_site_fract_z
Ta1 Ta 0.000 0.000 0.000
Ta2 Ta 0.500 0.500 0.253
In1 In 0.500 0.500 0.728
P1 P 0.000 0.000 0.388

***

# 8
# Dy3Ho4Er3 | Alexandria | PBE | relaxed
# * total moment: 0.000 μB/f.u.
# * uncorrected energy: -89.69 eV per cell
data_Dy3Ho4Er3
_cell_length_a 3.661
_cell_length_b 13.048
_cell_length_c 13.057
_cell_angle_alpha 90.00
_cell_angle_beta 90.00
_cell_angle_gamma 90.00
_symmetry_space_group_name_H-M 'A m m 2'
_symmetry_Int_Tables_number 38
_symmetry_space_group_name_Hall 'A 2 -2'
loop_
_atom_site_label
_atom_site_type_symbol
_atom_site_fract_x
_atom_site_fract_y
_atom_site_fract_z
Dy1 Dy 0.000 0.000 0.000
Dy2 Dy 0.000 0.172 0.672
Ho1 Ho 0.500 0.000 0.545
Ho2 Ho 0.500 0.000 0.799
Ho3 Ho 0.500 0.126 0.172
Er1 Er 0.000 0.000 0.344
Er2 Er 0.500 0.249 0.422

***

# 9
# NbAs2SeN | Alexandria | PBE | relaxed
# * total moment: 0.000 μB/f.u.
# * uncorrected energy: -24.97 eV per cell
data_NbAs2SeN
_cell_length_a 5.012
_cell_length_b 5.012
_cell_length_c 3.633
_cell_angle_alpha 90.00
_cell_angle_beta 90.00
_cell_angle_gamma 90.00
_symmetry_space_group_name_H-M 'P 4/m m m'
_symmetry_Int_Tables_number 123
_symmetry_space_group_name_Hall '-P 4 2'
loop_
_atom_site_label
_atom_site_type_symbol
_atom_site_fract_x
_atom_site_fract_y
_atom_site_fract_z
Nb1 Nb 0.000 0.000 0.000
As1 As 0.000 0.500 0.500
Se1 Se 0.500 0.500 0.500
N1 N 0.500 0.500 0.000

***

# 10
# Ba7Na6Sr16 | Alexandria | PBE | relaxed
# * total moment: 0.000 μB/f.u.
# * uncorrected energy: -172.50 eV per cell
data_Ba7Na6Sr16
_cell_length_a 19.629
_cell_length_b 19.629
_cell_length_c 19.629
_cell_angle_alpha 90.00
_cell_angle_beta 90.00
_cell_angle_gamma 90.00
_symmetry_space_group_name_H-M 'F m -3 m'
_symmetry_Int_Tables_number 225
_symmetry_space_group_name_Hall '-F 4 2 3'
loop_
_atom_site_label
_atom_site_type_symbol
_atom_site_fract_x
_atom_site_fract_y
_atom_site_fract_z
Ba1 Ba 0.000 0.000 0.000
Ba2 Ba 0.000 0.250 0.250
Na1 Na 0.000 0.000 0.247
Sr1 Sr 0.121 0.121 0.121
Sr2 Sr 0.174 0.174 0.326

***

# 11
# Mn3AlGa2 | Alexandria | PBE | relaxed
# * total moment: 7.407 μB/f.u.
# * uncorrected energy: -76.74 eV per cell
data_Mn3AlGa2
_cell_length_a 3.832
_cell_length_b 11.500
_cell_length_c 3.631
_cell_angle_alpha 90.00
_cell_angle_beta 90.00
_cell_angle_gamma 90.00
_symmetry_space_group_name_H-M 'C m m m'
_symmetry_Int_Tables_number 65
_symmetry_space_group_name_Hall '-C 2 2'
loop_
_atom_site_label
_atom_site_type_symbol
_atom_site_fract_x
_atom_site_fract_y
_atom_site_fract_z
Mn1 Mn 0.000 0.000 0.000
Mn2 Mn 0.000 0.333 0.000
Al1 Al 0.000 0.500 0.500
Ga1 Ga 0.000 0.165 0.500

***

# 12
# CsKTl2F8 | Alexandria | PBE | relaxed
# * total moment: 0.000 μB/f.u.
# * uncorrected energy: -94.80 eV per cell
data_CsKTl2F8
_cell_length_a 6.259
_cell_length_b 6.259
_cell_length_c 11.932
_cell_angle_alpha 90.00
_cell_angle_beta 90.00
_cell_angle_gamma 90.00
_symmetry_space_group_name_H-M 'I -4'
_symmetry_Int_Tables_number 82
_symmetry_space_group_name_Hall 'I -4'
loop_
_atom_site_label
_atom_site_type_symbol
_atom_site_fract_x
_atom_site_fract_y
_atom_site_fract_z
Cs1 Cs 0.000 0.000 0.000
K1 K 0.000 0.500 0.750
Tl1 Tl 0.000 0.000 0.500
Tl2 Tl 0.000 0.500 0.250
F1 F 0.179 0.220 0.599
F2 F 0.199 0.289 0.343